! HfMnBr3 PBE relaxed; values from VASP
&SYSTEM
  ibrav = 0, nat = 5, ntyp = 3
/
ATOMIC_SPECIES
Br 79.90 Br.upf
Mn 54.94 Mn.upf
Hf 178.49 Hf.upf
ATOMIC_POSITIONS crystal
Br 0.500 0.000 0.000
Br 0.000 0.500 0.000
Br 0.000 0.000 0.500
Mn 0.500 0.500 0.500
Hf 0.000 0.000 0.000
CELL_PARAMETERS angstrom
5.296 0.000 0.000
0.000 5.296 0.000
0.000 0.000 5.296
! Crystal system = cubic
! Total magnetization = 5.16 μB per formula unit
! DFT total energy = -24.63 eV for the cell shown


! ScIn2Cu9 PBE relaxed; values from VASP
&SYSTEM
  ibrav = 0, nat = 12, ntyp = 3
/
ATOMIC_SPECIES
Cu 63.55 Cu.upf
In 114.82 In.upf
Sc 44.96 Sc.upf
ATOMIC_POSITIONS crystal
Cu 0.415 0.415 0.250
Cu 0.500 0.500 0.500
Cu 0.585 0.585 0.750
Cu 0.080 0.585 0.750
Cu 0.585 0.080 0.750
Cu 0.333 0.333 0.000
Cu 0.667 0.667 0.000
Cu 0.920 0.415 0.250
Cu 0.415 0.920 0.250
In 0.139 0.139 0.584
In 0.861 0.861 0.416
Sc 0.000 0.000 0.000
CELL_PARAMETERS angstrom
-2.223 3.617 2.663
-4.209 2.131 -1.692
-6.521 -3.639 4.215
! Crystal system = trigonal
! Total magnetization = 0.00 μB per formula unit
! Energy of formation = -92 meV per atom
! DFT total energy = -49.78 eV for the cell shown